Here is AlCrCu after structural relaxation from Alexandria via LeMat-Bulk. Energies are from PBE.

abc: 6.007 6.007 6.007
angles: 155.19 155.19 35.37
Element x y z (fractional)
Cr 0.334 0.334 0.000
Cu 0.667 0.667 0.000
Al 0.000 0.000 0.000

Summary:
The value obtained for the spin magnetization is 0.0 μB/f.u. The calculation puts the energy of formation at 0.05 eV per atom. The total energy comes out at -0.21196 hartree per atom. The calculation puts the density of states at the Fermi level at 1.9 states/eV/f.u.

Here is Tl2ZnIn after structural relaxation from Alexandria via LeMat-Bulk. Energies are from PBE.

abc: 4.717 3.485 6.723
angles: 76.32 90.00 90.00
Element x y z (fractional)
Zn 0.000 0.701 0.486
In 0.500 0.564 0.741
Tl 0.000 0.947 0.986
Tl 0.500 0.287 0.287

Summary:
The value obtained for the spin magnetization is 0.0 μB/f.u. The calculation puts the energy of formation at 0.10 eV per atom. The total energy comes out at -0.07677 hartree per atom. The calculation puts the density of states at the Fermi level at 1.2 states/eV/f.u.

The lowest energy of formation belongs to which entry? AlCrCu

Which value of spin magnetization does entry 1 give? 0.0 μB/f.u.

The highest energy of formation belongs to which entry? Tl2ZnIn